# K2MnPbO

A relaxed K2MnPbO crystal (GGA+U, Alexandria via LeMat-Bulk).

```
data_K2MnPbO
_space_group_name_H-M_alt 'P 4/m m m'
_space_group_IT_number 123
_space_group_name_Hall '-P 4 2'
_cell_length_a 5.243
_cell_length_b 5.243
_cell_length_c 5.163
_cell_angle_alpha 90.00
_cell_angle_beta 90.00
_cell_angle_gamma 90.00
loop_
_atom_site_label
_atom_site_fract_x
_atom_site_fract_y
_atom_site_fract_z
K1 0.000 0.500 0.000
Mn1 0.000 0.000 0.500
Pb1 0.500 0.500 0.500
O1 0.500 0.500 0.000
```

Results
The value obtained for the density of states at the Fermi level is 0.638 states/eV per atom. As for the uncorrected energy: -3.825 eV per atom. The crystal system is tetragonal.

=====

# KMnPbO4

A relaxed KMnPbO4 crystal (GGA+U, Alexandria via LeMat-Bulk).

```
data_KMnPbO4
_space_group_name_H-M_alt 'I m m a'
_space_group_IT_number 74
_space_group_name_Hall '-I 2b 2'
_cell_length_a 6.091
_cell_length_b 7.244
_cell_length_c 9.747
_cell_angle_alpha 90.00
_cell_angle_beta 90.00
_cell_angle_gamma 90.00
loop_
_atom_site_label
_atom_site_fract_x
_atom_site_fract_y
_atom_site_fract_z
K1 0.000 0.250 0.144
Mn1 0.250 0.250 0.750
Pb1 0.000 0.000 0.500
O1 0.000 0.073 0.746
O2 0.242 0.250 0.551
```

Results
The value obtained for the density of states at the Fermi level is 0.209 states/eV per atom. As for the uncorrected energy: -5.779 eV per atom. The crystal system is orthorhombic.

=====

# K2MnPdO4

A relaxed K2MnPdO4 crystal (GGA+U, Alexandria via LeMat-Bulk).

```
data_K2MnPdO4
_space_group_name_H-M_alt 'I -4'
_space_group_IT_number 82
_space_group_name_Hall 'I -4'
_cell_length_a 6.145
_cell_length_b 6.145
_cell_length_c 6.834
_cell_angle_alpha 90.00
_cell_angle_beta 90.00
_cell_angle_gamma 90.00
loop_
_atom_site_label
_atom_site_fract_x
_atom_site_fract_y
_atom_site_fract_z
K1 0.000 0.000 0.000
K2 0.000 0.500 0.250
Mn1 0.000 0.500 0.750
Pd1 0.000 0.000 0.500
O1 0.132 0.286 0.581
```

Results
The value obtained for the density of states at the Fermi level is 0.396 states/eV per atom. As for the uncorrected energy: -5.406 eV per atom. The crystal system is tetragonal.

=====

# K2PmMn2O4

A relaxed K2PmMn2O4 crystal (GGA+U, Alexandria via LeMat-Bulk).

```
data_K2PmMn2O4
_space_group_name_H-M_alt 'C 1 2/m 1'
_space_group_IT_number 12
_space_group_name_Hall '-C 2y'
_cell_length_a 13.818
_cell_length_b 3.583
_cell_length_c 6.662
_cell_angle_alpha 90.00
_cell_angle_beta 91.99
_cell_angle_gamma 90.00
loop_
_atom_site_label
_atom_site_fract_x
_atom_site_fract_y
_atom_site_fract_z
K1 0.110 0.000 0.454
Pm1 0.000 0.000 0.000
Mn1 0.185 0.500 0.878
O1 0.040 0.500 0.778
O2 0.168 0.000 0.064
```

Results
The value obtained for the density of states at the Fermi level is 0.171 states/eV per atom. As for the uncorrected energy: -6.386 eV per atom. The crystal system is monoclinic.

=====

# KPm2MnO5

A relaxed KPm2MnO5 crystal (GGA+U, Alexandria via LeMat-Bulk).

```
data_KPm2MnO5
_space_group_name_H-M_alt 'P 4/m b m'
_space_group_IT_number 127
_space_group_name_Hall '-P 4 2ab'
_cell_length_a 6.731
_cell_length_b 6.731
_cell_length_c 5.829
_cell_angle_alpha 90.00
_cell_angle_beta 90.00
_cell_angle_gamma 90.00
loop_
_atom_site_label
_atom_site_fract_x
_atom_site_fract_y
_atom_site_fract_z
K1 0.000 0.000 0.000
Pm1 0.179 0.321 0.500
Mn1 0.000 0.500 0.000
O1 0.000 0.000 0.500
O2 0.134 0.634 0.243
```

Results
The value obtained for the density of states at the Fermi level is 0.000 states/eV per atom. As for the uncorrected energy: -7.311 eV per atom. The crystal system is tetragonal.

=====

# K4Pm3MnO8

A relaxed K4Pm3MnO8 crystal (GGA+U, Alexandria via LeMat-Bulk).

```
data_K4Pm3MnO8
_space_group_name_H-M_alt 'C 1 2/m 1'
_space_group_IT_number 12
_space_group_name_Hall '-C 2y'
_cell_length_a 12.503
_cell_length_b 6.899
_cell_length_c 7.404
_cell_angle_alpha 90.00
_cell_angle_beta 121.57
_cell_angle_gamma 90.00
loop_
_atom_site_label
_atom_site_fract_x
_atom_site_fract_y
_atom_site_fract_z
K1 0.000 0.000 0.000
K2 0.000 0.500 0.000
K3 0.250 0.250 0.000
Pm1 0.000 0.000 0.500
Pm2 0.250 0.250 0.500
Mn1 0.000 0.500 0.500
O1 0.021 0.285 0.333
O2 0.222 0.000 0.691
O3 0.238 0.000 0.278
```

Results
As for the uncorrected energy: -6.427 eV per atom. The crystal system is monoclinic.

=====

# K3Pm2MnO6

A relaxed K3Pm2MnO6 crystal (GGA+U, Alexandria via LeMat-Bulk).

```
data_K3Pm2MnO6
_space_group_name_H-M_alt 'C 1 2/m 1'
_space_group_IT_number 12
_space_group_name_Hall '-C 2y'
_cell_length_a 6.180
_cell_length_b 10.214
_cell_length_c 6.654
_cell_angle_alpha 90.00
_cell_angle_beta 109.48
_cell_angle_gamma 90.00
loop_
_atom_site_label
_atom_site_fract_x
_atom_site_fract_y
_atom_site_fract_z
K1 0.000 0.000 0.000
K2 0.000 0.339 0.000
Pm1 0.000 0.164 0.500
Mn1 0.000 0.500 0.500
O1 0.208 0.355 0.670
O2 0.219 0.000 0.714
```

Results
The value obtained for the density of states at the Fermi level is 0.000 states/eV per atom. As for the uncorrected energy: -6.390 eV per atom. The crystal system is monoclinic.

=====

# KPmMnO3

A relaxed KPmMnO3 crystal (GGA+U, Alexandria via LeMat-Bulk).

```
data_KPmMnO3
_space_group_name_H-M_alt 'C m c m'
_space_group_IT_number 63
_space_group_name_Hall '-C 2c 2'
_cell_length_a 3.696
_cell_length_b 12.957
_cell_length_c 9.544
_cell_angle_alpha 90.00
_cell_angle_beta 90.00
_cell_angle_gamma 90.00
loop_
_atom_site_label
_atom_site_fract_x
_atom_site_fract_y
_atom_site_fract_z
K1 0.000 0.199 0.250
Pm1 0.000 0.500 0.000
Mn1 0.000 0.071 0.750
O1 0.000 0.110 0.550
O2 0.000 0.473 0.750
```

Results
The value obtained for the density of states at the Fermi level is 0.000 states/eV per atom. As for the uncorrected energy: -6.858 eV per atom. The crystal system is orthorhombic.

=====

# KPrMnO3

A relaxed KPrMnO3 crystal (GGA+U, Alexandria via LeMat-Bulk).

```
data_KPrMnO3
_space_group_name_H-M_alt 'P 1 21/m 1'
_space_group_IT_number 11
_space_group_name_Hall '-P 2yb'
_cell_length_a 7.495
_cell_length_b 3.697
_cell_length_c 9.802
_cell_angle_alpha 90.00
_cell_angle_beta 109.24
_cell_angle_gamma 90.00
loop_
_atom_site_label
_atom_site_fract_x
_atom_site_fract_y
_atom_site_fract_z
K1 0.180 0.250 0.143
Pr1 0.333 0.750 0.851
Mn1 0.015 0.250 0.620
O1 0.102 0.250 0.839
O2 0.148 0.750 0.594
O3 0.450 0.750 0.111
```

Results
As for the uncorrected energy: -6.857 eV per atom. The crystal system is monoclinic.

=====

# K3Pr2MnO6

A relaxed K3Pr2MnO6 crystal (GGA+U, Alexandria via LeMat-Bulk).

```
data_K3Pr2MnO6
_space_group_name_H-M_alt 'C 1 2/m 1'
_space_group_IT_number 12
_space_group_name_Hall '-C 2y'
_cell_length_a 6.053
_cell_length_b 10.643
_cell_length_c 6.576
_cell_angle_alpha 90.00
_cell_angle_beta 107.66
_cell_angle_gamma 90.00
loop_
_atom_site_label
_atom_site_fract_x
_atom_site_fract_y
_atom_site_fract_z
K1 0.000 0.000 0.000
K2 0.000 0.340 0.000
Pr1 0.000 0.170 0.500
Mn1 0.000 0.500 0.500
O1 0.225 0.340 0.697
O2 0.225 0.500 0.332
```

Results
As for the uncorrected energy: -6.327 eV per atom. The crystal system is monoclinic.

=====

# K3Pr3MnO8

A relaxed K3Pr3MnO8 crystal (GGA+U, Alexandria via LeMat-Bulk).

```
data_K3Pr3MnO8
_space_group_name_H-M_alt 'R -3 m'
_space_group_IT_number 166
_space_group_name_Hall '-R 3 2"'
_cell_length_a 7.0463
_cell_length_b 7.0463
_cell_length_c 18.9161
_cell_angle_alpha 90.00
_cell_angle_beta 90.00
_cell_angle_gamma 120.00
loop_
_atom_site_label
_atom_site_fract_x
_atom_site_fract_y
_atom_site_fract_z
K1 0.0000 0.5000 0.0000
Pr1 0.0000 0.5000 0.5000
Mn1 0.0000 0.0000 0.5000
O1 0.0000 0.0000 0.2313
O2 0.0470 0.5235 0.2239
```

Results
As for the uncorrected energy: -6.606 eV per atom. The crystal system is trigonal.

=====

# K4Pr3MnO8

A relaxed K4Pr3MnO8 crystal (GGA+U, Alexandria via LeMat-Bulk).

```
data_K4Pr3MnO8
_space_group_name_H-M_alt 'C 1 2/m 1'
_space_group_IT_number 12
_space_group_name_Hall '-C 2y'
_cell_length_a 12.744
_cell_length_b 6.999
_cell_length_c 7.437
_cell_angle_alpha 90.00
_cell_angle_beta 121.49
_cell_angle_gamma 90.00
loop_
_atom_site_label
_atom_site_fract_x
_atom_site_fract_y
_atom_site_fract_z
K1 0.000 0.000 0.000
K2 0.000 0.500 0.000
K3 0.250 0.250 0.000
Pr1 0.000 0.000 0.500
Pr2 0.250 0.250 0.500
Mn1 0.000 0.500 0.500
O1 0.022 0.289 0.334
O2 0.222 0.000 0.694
O3 0.232 0.000 0.271
```

Results
As for the uncorrected energy: -6.372 eV per atom. The crystal system is monoclinic.